(1)
! PBE-GGA Rb2H3Cl, optimized geometry; values from VASP
&SYSTEM
  ibrav = 0, nat = 12, ntyp = 3
/
ATOMIC_SPECIES
Rb 85.47 Rb.upf
H 1.01 H.upf
Cl 35.45 Cl.upf
CELL_PARAMETERS angstrom
4.846 -4.476 0.000
4.846 4.476 0.000
-3.949 0.000 6.863
ATOMIC_POSITIONS angstrom
Rb 1.299 1.153 1.624
Rb -0.675 -1.153 5.055
Rb 6.419 1.153 1.807
Rb 4.445 -1.153 5.238
H 1.091 0.999 4.452
H 1.885 0.993 5.147
H 3.066 -0.999 1.021
H 2.678 0.999 5.841
H 3.859 -0.993 1.716
H 4.652 -0.999 2.410
Cl 3.859 3.223 1.716
Cl 1.885 -3.223 5.147
! - E_tot (eV per atom) = -2.945
! - space-group type = No. 15
! - density (g cm⁻³) = 2.3
! - V (Å³ per cell) = 298

=====

(2)
! PBE-GGA Rb12H3Cl5, optimized geometry; values from VASP
&SYSTEM
  ibrav = 0, nat = 80, ntyp = 3
/
ATOMIC_SPECIES
Rb 85.47 Rb.upf
H 1.01 H.upf
Cl 35.45 Cl.upf
CELL_PARAMETERS angstrom
-9.977 9.977 9.977
9.977 -9.977 9.977
9.977 9.977 -9.977
ATOMIC_POSITIONS angstrom
Rb 3.027 -0.462 1.378
Rb 11.938 6.367 -5.451
Rb 9.515 -1.378 3.027
Rb 15.428 -1.961 3.611
Rb 13.005 0.462 1.378
Rb 11.938 -3.611 5.451
Rb 1.378 3.027 -0.462
Rb 13.588 4.526 -1.961
Rb 6.367 5.451 -1.961
Rb 8.599 3.027 0.462
Rb -0.462 1.378 3.027
Rb 5.451 -1.961 6.367
Rb 9.515 8.599 -3.027
Rb 5.451 1.961 3.611
Rb 8.599 -3.027 9.515
Rb 6.367 -5.451 11.938
Rb 3.611 5.451 1.961
Rb 11.355 6.950 0.462
Rb 3.027 9.515 -1.378
Rb 11.938 3.611 4.526
Rb 5.451 11.938 -3.611
Rb 9.515 1.378 6.950
Rb 1.961 3.611 5.451
Rb 3.027 0.462 8.599
Rb 6.950 9.515 1.378
Rb 8.016 6.367 4.526
Rb 0.462 8.599 3.027
Rb 4.526 -1.961 13.588
Rb -1.961 6.367 5.451
Rb 6.950 0.462 11.355
Rb -1.378 3.027 9.515
Rb 6.367 4.526 8.016
Rb 3.611 15.428 -1.961
Rb 1.378 13.005 0.462
Rb 4.526 8.016 6.367
Rb 0.462 1.378 13.005
Rb 4.526 11.938 3.611
Rb 10.440 8.599 6.950
Rb 1.378 6.950 9.515
Rb 3.611 4.526 11.938
Rb -3.611 5.451 11.938
Rb 8.599 6.950 10.440
Rb -1.961 13.588 4.526
Rb -3.027 9.515 8.599
Rb -5.451 11.938 6.367
Rb 0.462 11.355 6.950
Rb -1.961 3.611 15.428
Rb 6.950 10.440 8.599
H 4.989 2.494 0.000
H 9.977 4.989 -2.494
H 2.494 0.000 4.989
H 12.472 0.000 4.989
H 0.000 4.989 2.494
H 4.989 -2.494 9.977
H 4.989 12.472 0.000
H 9.977 4.989 7.483
H -2.494 9.977 4.989
H 7.483 9.977 4.989
H 0.000 4.989 12.472
H 4.989 7.483 9.977
Cl 0.000 0.000 0.000
Cl 4.989 4.989 -4.989
Cl 4.989 -4.989 4.989
Cl 9.977 0.000 0.000
Cl 14.966 2.494 0.000
Cl 9.977 -4.989 7.483
Cl 7.483 9.977 -4.989
Cl 7.483 0.000 4.989
Cl 4.989 7.483 0.000
Cl 9.977 4.989 2.494
Cl -4.989 4.989 4.989
Cl 0.000 9.977 0.000
Cl 0.000 0.000 9.977
Cl 4.989 4.989 4.989
Cl 0.000 4.989 7.483
Cl 4.989 2.494 9.977
Cl 2.494 9.977 4.989
Cl 2.494 0.000 14.966
Cl 0.000 14.966 2.494
Cl -4.989 7.483 9.977
! - E_tot (eV per atom) = -2.326
! - space-group type = No. 230
! - density (g cm⁻³) = 2.0
! - V (Å³ per cell) = 3973

=====

(3)
! PBE-GGA Rb2H2Cl, optimized geometry; values from VASP
&SYSTEM
  ibrav = 0, nat = 5, ntyp = 3
/
ATOMIC_SPECIES
Rb 85.47 Rb.upf
H 1.01 H.upf
Cl 35.45 Cl.upf
CELL_PARAMETERS angstrom
4.163 -2.515 0.000
4.163 2.515 0.000
-1.428 0.000 8.373
ATOMIC_POSITIONS angstrom
Rb 1.377 0.000 1.882
Rb 5.521 0.000 6.490
H 3.449 2.125 4.186
H 3.449 -2.125 4.186
Cl 4.163 0.000 0.000
! - E_tot (eV per atom) = -2.771
! - space-group type = No. 12
! - density (g cm⁻³) = 2.0
! - energy above the lowest structure with this stoichiometry (meV/atom) = 0
! - V (Å³ per cell) = 175

=====

(4)
! PBE-GGA Rb7H5Cl, optimized geometry; values from VASP
&SYSTEM
  ibrav = 0, nat = 26, ntyp = 3
/
ATOMIC_SPECIES
Rb 85.47 Rb.upf
H 1.01 H.upf
Cl 35.45 Cl.upf
CELL_PARAMETERS angstrom
7.261 -2.129 0.000
7.261 2.129 0.000
-0.052 0.000 28.255
ATOMIC_POSITIONS angstrom
Rb 1.268 0.000 11.472
Rb 1.297 0.000 2.660
Rb 2.155 0.000 23.586
Rb 2.175 0.000 18.800
Rb 5.238 0.000 13.220
Rb 5.268 0.000 0.910
Rb 5.842 0.000 21.196
Rb 8.627 0.000 7.059
Rb 9.202 0.000 27.345
Rb 9.231 0.000 15.034
Rb 12.294 0.000 9.455
Rb 12.314 0.000 4.668
Rb 13.172 0.000 25.595
Rb 13.201 0.000 16.783
H 0.000 0.000 0.000
H -0.026 0.000 14.127
H 3.891 0.000 16.068
H 3.867 0.000 26.320
H 6.598 0.000 10.710
H 6.625 0.000 3.413
H 7.844 0.000 24.841
H 7.871 0.000 17.545
H 10.603 0.000 1.935
H 10.578 0.000 12.187
Cl 4.029 0.000 7.052
Cl 10.440 0.000 21.202
! - E_tot (eV per atom) = -2.323
! - space-group type = No. 12
! - density (g cm⁻³) = 2.4
! - V (Å³ per cell) = 874

=====

(5)
! PBE-GGA Rb2H2Cl, optimized geometry; values from VASP
&SYSTEM
  ibrav = 0, nat = 5, ntyp = 3
/
ATOMIC_SPECIES
Rb 85.47 Rb.upf
H 1.01 H.upf
Cl 35.45 Cl.upf
CELL_PARAMETERS angstrom
-2.063 2.063 7.776
2.063 -2.063 7.776
2.063 2.063 -7.776
ATOMIC_POSITIONS angstrom
Rb 0.000 0.000 1.905
Rb 0.000 0.000 13.647
H 2.063 0.000 3.888
H 0.000 2.063 3.888
Cl 0.000 0.000 7.776
! - E_tot (eV per atom) = -2.492
! - space-group type = No. 139
! - density (g cm⁻³) = 2.6
! - energy above the lowest structure with this stoichiometry (meV/atom) = 279
! - V (Å³ per cell) = 132

=====

(6)
! PBE-GGA Rb6H2Cl3, optimized geometry; values from VASP
&SYSTEM
  ibrav = 0, nat = 11, ntyp = 3
/
ATOMIC_SPECIES
Rb 85.47 Rb.upf
H 1.01 H.upf
Cl 35.45 Cl.upf
CELL_PARAMETERS angstrom
2.294 1.324 23.134
-2.294 1.324 23.134
0.000 -2.648 23.134
ATOMIC_POSITIONS angstrom
Rb 0.000 0.000 5.966
Rb 0.000 0.000 13.759
Rb 0.000 0.000 25.123
Rb 0.000 0.000 44.280
Rb 0.000 0.000 55.643
Rb 0.000 0.000 63.437
H 0.000 0.000 30.784
H 0.000 0.000 38.619
Cl 0.000 0.000 0.000
Cl 0.000 0.000 19.156
Cl 0.000 0.000 50.247
! - E_tot (eV per atom) = -2.736
! - space-group type = No. 166
! - density (g cm⁻³) = 2.4
! - V (Å³ per cell) = 422

=====

(7)
! PBE-GGA RbHCl4, optimized geometry; values from VASP
&SYSTEM
  ibrav = 0, nat = 6, ntyp = 3
/
ATOMIC_SPECIES
Rb 85.47 Rb.upf
H 1.01 H.upf
Cl 35.45 Cl.upf
CELL_PARAMETERS angstrom
5.323 0.000 0.000
-2.155 6.051 0.000
-0.375 -1.738 6.246
ATOMIC_POSITIONS angstrom
Rb 0.000 0.000 0.000
H 1.049 4.132 2.099
Cl 0.479 -0.862 3.194
Cl 1.190 3.080 0.606
Cl 0.978 5.105 3.121
Cl 3.850 2.920 0.480
! - E_tot (eV per atom) = -2.623
! - space-group type = No. 1
! - density (g cm⁻³) = 1.9
! - V (Å³ per cell) = 201

=====

(8)
! PBE-GGA RbH2Cl3, optimized geometry; values from VASP
&SYSTEM
  ibrav = 0, nat = 12, ntyp = 3
/
ATOMIC_SPECIES
Rb 85.47 Rb.upf
H 1.01 H.upf
Cl 35.45 Cl.upf
CELL_PARAMETERS angstrom
5.269 -4.100 0.000
5.269 4.100 0.000
-5.186 0.000 7.927
ATOMIC_POSITIONS angstrom
Rb 1.379 3.207 5.945
Rb 3.972 -3.207 1.982
H 2.774 0.478 1.596
H 0.180 -0.478 5.560
H 5.170 0.478 2.367
H 2.577 -0.478 6.330
Cl -0.781 0.560 5.322
Cl 3.972 1.669 1.982
Cl 1.812 -0.560 1.358
Cl 3.539 0.560 6.569
Cl 1.379 -1.669 5.945
Cl 6.132 -0.560 2.605
! - E_tot (eV per atom) = -3.222
! - space-group type = No. 15
! - density (g cm⁻³) = 1.9
! - energy above the lowest structure with this stoichiometry (meV/atom) = 0
! - V (Å³ per cell) = 342